Entry 1:
The following is a PBE calculation of crystalline Nb2TlP at its relaxed geometry, from Alexandria via LeMat-Bulk.

Lattice parameters (Å, degrees): 4.6564 4.6564 4.6564 60.00 60.00 60.00
Last column: nearest neighbours and their distance in Å.
Element x y z (fractional)
Nb  0.2500  0.2500  0.2500  4 Tl 2.85, 4 P 2.85
Nb  0.7500  0.7500  0.7500  4 Tl 2.85, 4 P 2.85
Tl  0.0000  0.0000  0.0000  8 Nb 2.85
P  0.5000  0.5000  0.5000  8 Nb 2.85

Results
The relative energy among the computed polymorphs comes out at 0.000 eV per formula unit. For the size of the total moment, the calculation gives 0.0 μB/cell. For the energy of formation from the pure elements, the calculation gives 230.0 meV per atom.

Entry 2:
The following is a PBE calculation of crystalline NbTlP3 at its relaxed geometry, from Alexandria via LeMat-Bulk.

Lattice parameters (Å, degrees): 4.8981 4.8981 4.8981 90.00 90.00 90.00
Last column: nearest neighbours and their distance in Å.
Element x y z (fractional)
Nb  0.0000  0.0000  0.0000  6 P 2.45
Tl  0.5000  0.5000  0.5000  12 P 3.46
P  0.0000  0.0000  0.5000  2 Nb 2.45
P  0.0000  0.5000  0.0000  2 Nb 2.45
P  0.5000  0.0000  0.0000  2 Nb 2.45

Results
The relative energy among the computed polymorphs comes out at 0.000 eV per formula unit. For the size of the total moment, the calculation gives 0.0 μB/cell. For the energy of formation from the pure elements, the calculation gives 204.2 meV per atom.

Entry 3:
The following is a PBE calculation of crystalline Nb2TlP2 at its relaxed geometry, from Alexandria via LeMat-Bulk.

Lattice parameters (Å, degrees): 6.0243 6.0243 6.0243 136.75 136.75 62.83
Last column: nearest neighbours and their distance in Å.
Element x y z (fractional)
Nb  0.1323  0.1323  0.0000  4 P 2.53, 1 Nb 2.72
Nb  0.8677  0.8677  0.0000  4 P 2.53, 1 Nb 2.72
Tl  0.5000  0.5000  0.0000  8 P 3.40, 10 Nb 3.42-3.78
P  0.2500  0.7500  0.5000  4 Nb 2.53
P  0.7500  0.2500  0.5000  4 Nb 2.53

Results
The relative energy among the computed polymorphs comes out at 1.627 eV per formula unit. For the size of the total moment, the calculation gives 0.0 μB/cell. For the energy of formation from the pure elements, the calculation gives -10.0 meV per atom.

Entry 4:
The following is a PBE calculation of crystalline NbTl2P at its relaxed geometry, from Alexandria via LeMat-Bulk.

Lattice parameters (Å, degrees): 5.0296 5.0296 5.0296 60.00 60.00 60.00
Last column: nearest neighbours and their distance in Å.
Element x y z (fractional)
Nb  0.0000  0.0000  0.0000  8 Tl 3.08
Tl  0.2500  0.2500  0.2500  4 Nb 3.08, 4 P 3.08
Tl  0.7500  0.7500  0.7500  4 Nb 3.08, 4 P 3.08
P  0.5000  0.5000  0.5000  8 Tl 3.08

Results
The relative energy among the computed polymorphs comes out at 0.664 eV per formula unit. For the size of the total moment, the calculation gives 2.1 μB/cell. For the energy of formation from the pure elements, the calculation gives 866.3 meV per atom.

> energy of formation from the pure elements of number 3 (Nb2TlP2)?

-10.0 meV per atom

What did the third record say?
The following is a PBE calculation of crystalline Nb2TlP2 at its relaxed geometry, from Alexandria via LeMat-Bulk.

Lattice parameters (Å, degrees): 6.0243 6.0243 6.0243 136.75 136.75 62.83
Last column: nearest neighbours and their distance in Å.
Element x y z (fractional)
Nb  0.1323  0.1323  0.0000  4 P 2.53, 1 Nb 2.72
Nb  0.8677  0.8677  0.0000  4 P 2.53, 1 Nb 2.72
Tl  0.5000  0.5000  0.0000  8 P 3.40, 10 Nb 3.42-3.78
P  0.2500  0.7500  0.5000  4 Nb 2.53
P  0.7500  0.2500  0.5000  4 Nb 2.53

Results
The relative energy among the computed polymorphs comes out at 1.627 eV per formula unit. For the size of the total moment, the calculation gives 0.0 μB/cell. For the energy of formation from the pure elements, the calculation gives -10.0 meV per atom.

> Number 2 is which compound?

NbTlP3